[1]
This record from Alexandria describes a relaxed La5InCo2 crystal. The functional is PBE-GGA.

## Properties
**Theoretical density**: 6.7 Mg/m³
**Formation energy**: -172 meV/atom
**Spin magnetization**: 0.0 μB/f.u.

Cell lengths 8.8988, 8.8988, 8.8988 Å; angles 154.11, 131.72, 55.59 degrees
Last column: nearest neighbours and their distance in Å.
Fractional positions:
La 0.0000 0.0000 0.0000  2 Co 2.96
La 0.1077 0.3470 0.7607  3 Co 2.81-3.05
La 0.4137 0.6530 0.7607  3 Co 2.81-3.05
La 0.5863 0.3470 0.2393  3 Co 2.81-3.05
La 0.8923 0.6530 0.2393  3 Co 2.81-3.05
In 0.5000 0.0000 0.5000  10 La 3.58-3.64, 2 In 3.99
Co 0.1879 0.1879 0.0000  7 La 2.81-3.05
Co 0.8121 0.8121 0.0000  7 La 2.81-3.05

[2]
This record from Alexandria describes a relaxed La12In3Co5 crystal. The functional is PBE-GGA.

## Properties
**Theoretical density**: 5.9 Mg/m³
**Formation energy**: -48 meV/atom
**Spin magnetization**: 0.0 μB/f.u.

Cell lengths 14.9929, 14.9929, 14.9929 Å; angles 109.47, 109.47, 109.47 degrees
Last column: nearest neighbours and their distance in Å.
Fractional positions:
La 0.0232 0.2029 0.1187  2 Co 2.57-2.80
La 0.0232 0.3203 0.9046  2 Co 2.57-2.80
La 0.0842 0.7029 0.6797  2 Co 2.57-2.80
La 0.0842 0.8813 0.4046  2 Co 2.57-2.80
La 0.0954 0.6187 0.4158  2 Co 2.57-2.80
La 0.0954 0.9768 0.6797  2 Co 2.57-2.80
La 0.1187 0.0232 0.2029  2 Co 2.57-2.80
La 0.1187 0.5954 0.9158  2 Co 2.57-2.80
La 0.1797 0.2029 0.5842  2 Co 2.57-2.80
La 0.1797 0.4768 0.5954  2 Co 2.57-2.80
La 0.2029 0.1187 0.0232  2 Co 2.57-2.80
La 0.2029 0.5842 0.1797  2 Co 2.57-2.80
La 0.2971 0.3203 0.9158  2 Co 2.57-2.80
La 0.2971 0.4768 0.3813  2 Co 2.57-2.80
La 0.3203 0.9046 0.0232  2 Co 2.57-2.80
La 0.3203 0.9158 0.2971  2 Co 2.57-2.80
La 0.3813 0.2971 0.4768  2 Co 2.57-2.80
La 0.3813 0.5842 0.9046  2 Co 2.57-2.80
La 0.4046 0.0842 0.8813  2 Co 2.57-2.80
La 0.4046 0.8203 0.5232  2 Co 2.57-2.80
La 0.4158 0.0954 0.6187  2 Co 2.57-2.80
La 0.4158 0.8203 0.7971  2 Co 2.57-2.80
La 0.4768 0.3813 0.2971  2 Co 2.57-2.80
La 0.4768 0.5954 0.1797  2 Co 2.57-2.80
La 0.5232 0.4046 0.8203  2 Co 2.57-2.80
La 0.5232 0.6187 0.7029  2 Co 2.57-2.80
La 0.5842 0.1797 0.2029  2 Co 2.57-2.80
La 0.5842 0.9046 0.3813  2 Co 2.57-2.80
La 0.5954 0.1797 0.4768  2 Co 2.57-2.80
La 0.5954 0.9158 0.1187  2 Co 2.57-2.80
La 0.6187 0.4158 0.0954  2 Co 2.57-2.80
La 0.6187 0.7029 0.5232  2 Co 2.57-2.80
La 0.6797 0.0842 0.7029  2 Co 2.57-2.80
La 0.6797 0.0954 0.9768  2 Co 2.57-2.80
La 0.7029 0.5232 0.6187  2 Co 2.57-2.80
La 0.7029 0.6797 0.0842  2 Co 2.57-2.80
La 0.7971 0.4158 0.8203  2 Co 2.57-2.80
La 0.7971 0.8813 0.9768  2 Co 2.57-2.80
La 0.8203 0.5232 0.4046  2 Co 2.57-2.80
La 0.8203 0.7971 0.4158  2 Co 2.57-2.80
La 0.8813 0.4046 0.0842  2 Co 2.57-2.80
La 0.8813 0.9768 0.7971  2 Co 2.57-2.80
La 0.9046 0.0232 0.3203  2 Co 2.57-2.80
La 0.9046 0.3813 0.5842  2 Co 2.57-2.80
La 0.9158 0.1187 0.5954  2 Co 2.57-2.80
La 0.9158 0.2971 0.3203  2 Co 2.57-2.80
La 0.9768 0.6797 0.0954  2 Co 2.57-2.80
La 0.9768 0.7971 0.8813  2 Co 2.57-2.80
In 0.1250 0.2500 0.3750  8 La 3.34-3.46
In 0.1250 0.3750 0.7500  8 La 3.34-3.46
In 0.2500 0.3750 0.1250  8 La 3.34-3.46
In 0.2500 0.8750 0.6250  8 La 3.34-3.46
In 0.3750 0.1250 0.2500  8 La 3.34-3.46
In 0.3750 0.7500 0.1250  8 La 3.34-3.46
In 0.6250 0.2500 0.8750  8 La 3.34-3.46
In 0.6250 0.8750 0.7500  8 La 3.34-3.46
In 0.7500 0.1250 0.3750  8 La 3.34-3.46
In 0.7500 0.6250 0.8750  8 La 3.34-3.46
In 0.8750 0.6250 0.2500  8 La 3.34-3.46
In 0.8750 0.7500 0.6250  8 La 3.34-3.46
Co 0.0000 0.0000 0.0000  6 La 2.80
Co 0.0000 0.0000 0.5000  6 La 2.80
Co 0.0000 0.5000 0.0000  6 La 2.80
Co 0.0000 0.5000 0.5000  6 La 2.80
Co 0.1250 0.7500 0.8750  4 La 2.57
Co 0.1250 0.8750 0.2500  4 La 2.57
Co 0.2500 0.1250 0.8750  4 La 2.57
Co 0.2500 0.6250 0.3750  4 La 2.57
Co 0.3750 0.2500 0.6250  4 La 2.57
Co 0.3750 0.6250 0.7500  4 La 2.57
Co 0.5000 0.0000 0.0000  6 La 2.80
Co 0.5000 0.0000 0.5000  6 La 2.80
Co 0.5000 0.5000 0.0000  6 La 2.80
Co 0.5000 0.5000 0.5000  6 La 2.80
Co 0.6250 0.3750 0.2500  4 La 2.57
Co 0.6250 0.7500 0.3750  4 La 2.57
Co 0.7500 0.3750 0.6250  4 La 2.57
Co 0.7500 0.8750 0.1250  4 La 2.57
Co 0.8750 0.1250 0.7500  4 La 2.57
Co 0.8750 0.2500 0.1250  4 La 2.57

[3]
This record from Alexandria describes a relaxed LaInCo3 crystal. The functional is PBE-GGA.

## Properties
**Theoretical density**: 6.6 Mg/m³
**Formation energy**: 775 meV/atom
**Spin magnetization**: 3.4 μB/f.u.
**Offset from the most stable computed form**: 0.0 meV/atom

Cell lengths 4.7607, 4.7607, 4.7607 Å; angles 90.00, 90.00, 90.00 degrees
Last column: nearest neighbours and their distance in Å.
Fractional positions:
La 0.0000 0.0000 0.0000  12 Co 3.37
In 0.5000 0.5000 0.5000  6 Co 2.38
Co 0.0000 0.5000 0.5000  2 In 2.38
Co 0.5000 0.0000 0.5000  2 In 2.38
Co 0.5000 0.5000 0.0000  2 In 2.38

[4]
This record from Alexandria describes a relaxed La7In2Co2 crystal. The functional is PBE-GGA.

## Properties
**Theoretical density**: 6.4 Mg/m³
**Formation energy**: -201 meV/atom
**Spin magnetization**: 0.0 μB/f.u.

Cell lengths 7.1165, 7.1165, 7.2392 Å; angles 90.00, 90.00, 109.75 degrees
Last column: nearest neighbours and their distance in Å.
Fractional positions:
La 0.0000 0.0000 0.0000  2 Co 3.31
La 0.0000 0.5000 0.2431  2 Co 2.73
La 0.0000 0.5000 0.7569  2 Co 2.73
La 0.5000 0.0000 0.2431  2 Co 2.73
La 0.5000 0.0000 0.7569  2 Co 2.73
La 0.5000 0.5000 0.2251  2 Co 2.99, 1 La 3.26, 2 In 3.33
La 0.5000 0.5000 0.7749  2 Co 2.99, 1 La 3.26, 2 In 3.33
In 0.1732 0.1732 0.5000  1 In 2.84
In 0.8268 0.8268 0.5000  1 In 2.84
Co 0.2846 0.7154 0.0000  6 La 2.73-2.99
Co 0.7154 0.2846 0.0000  6 La 2.73-2.99